Record 1
La2FeAuN: optimized geometry, GGA-PBE.

Cell lengths 5.313, 5.313, 3.625 Å; angles 90.00, 90.00, 90.00 degrees
Fractional coordinates of all 5 atoms:
La 0.000 0.500 0.000
La 0.500 0.000 0.000
Fe 0.000 0.000 0.500
Au 0.500 0.500 0.500
N 0.000 0.000 0.000

Results
**Formation energy without anion corrections**: -0.794 eV per atom
**Space-group type**: P4/mmm (123)

Record 2
CeHo4P5: optimized geometry, GGA-PBE.

Cell lengths 6.932, 6.932, 6.932 Å; angles 99.61, 99.61, 131.78 degrees
Fractional coordinates of all 10 atoms:
Ce 0.000 0.000 0.000
Ho 0.199 0.399 0.598
Ho 0.399 0.801 0.201
Ho 0.601 0.199 0.799
Ho 0.801 0.601 0.402
P 0.100 0.700 0.799
P 0.300 0.100 0.400
P 0.500 0.500 0.000
P 0.700 0.900 0.600
P 0.900 0.300 0.201

Results
**Formation energy from the elements**: -16.0 eV per formula unit
**Space-group type**: I4/m (87)

Record 3
SrEu2Si: optimized geometry, GGA-PBE.

Cell lengths 3.829, 3.829, 9.702 Å; angles 90.00, 90.00, 90.00 degrees
Fractional coordinates of all 4 atoms:
Sr 0.000 0.000 0.000
Eu 0.500 0.500 0.332
Eu 0.500 0.500 0.668
Si 0.000 0.000 0.500

Results
**Energy above the most stable polymorph in this dataset**: 0 meV per atom
**Formation energy without anion corrections**: -0.187 eV per atom
**Space-group type**: P4/mmm (123)

Record 4
Ca2NdTm: optimized geometry, GGA-PBE.

Cell lengths 4.140, 4.140, 8.390 Å; angles 90.00, 90.00, 90.00 degrees
Fractional coordinates of all 4 atoms:
Ca 0.000 0.000 0.242
Ca 0.000 0.000 0.758
Nd 0.500 0.500 0.500
Tm 0.500 0.500 0.000

Results
**Energy above the most stable polymorph in this dataset**: 54 meV per atom
**Formation energy from the elements**: 0.7 eV per formula unit
**Space-group type**: P4/mmm (123)